A PBEsol-optimized structure of CoBiS2, computed with SCAN.

Summary:
Raw formation energy ... 0.1 eV per formula unit
Calculated density ... 5.4 g cm⁻³
Final energy ... -28.771 eV per atom

abc: 4.027 4.027 7.638
angles: 74.71 74.71 60.00
Fractional coordinates of all 4 atoms:
S: 0.904 0.904 0.288
S: 0.096 0.096 0.712
Co: 0.000 0.000 0.000
Bi: 0.500 0.500 0.500



A PBEsol-optimized structure of Cs2Te2O5, computed with SCAN.

Summary:
Raw formation energy ... -13.4 eV per formula unit
Calculated density ... 5.2 g cm⁻³
Final energy ... -21.631 eV per atom

abc: 10.740 11.892 11.916
angles: 90.00 90.00 90.00
Fractional coordinates of all 72 atoms:
Cs: 0.751 0.753 0.753
Cs: 0.225 0.996 0.003
Cs: 0.751 0.253 0.747
Cs: 0.275 0.996 0.503
Cs: 0.249 0.747 0.253
Cs: 0.749 0.253 0.247
Cs: 0.749 0.753 0.253
Cs: 0.725 0.004 0.497
Cs: 0.251 0.247 0.747
Cs: 0.275 0.496 0.997
Cs: 0.775 0.504 0.503
Cs: 0.225 0.496 0.497
Cs: 0.251 0.747 0.753
Cs: 0.775 0.004 0.997
Cs: 0.249 0.247 0.247
Cs: 0.725 0.504 0.003
Te: 0.499 0.009 0.754
Te: 0.996 0.255 0.988
Te: 0.504 0.255 0.488
Te: 0.999 0.991 0.746
Te: 0.501 0.491 0.254
Te: 0.499 0.509 0.746
Te: 0.996 0.755 0.512
Te: 0.004 0.245 0.488
Te: 0.001 0.509 0.246
Te: 0.496 0.745 0.512
Te: 0.004 0.745 0.012
Te: 0.504 0.755 0.012
Te: 0.496 0.245 0.988
Te: 0.501 0.991 0.246
Te: 0.999 0.491 0.754
Te: 0.001 0.009 0.254
O: 0.328 0.994 0.765
O: 0.527 0.115 0.884
O: 0.991 0.619 0.360
O: 0.009 0.381 0.640
O: 0.672 0.506 0.265
O: 0.824 0.265 0.997
O: 0.509 0.619 0.860
O: 0.172 0.994 0.265
O: 0.015 0.141 0.880
O: 0.676 0.265 0.497
O: 0.176 0.735 0.003
O: 0.973 0.615 0.116
O: 0.027 0.885 0.616
O: 0.515 0.859 0.620
O: 0.172 0.494 0.235
O: 0.515 0.359 0.880
O: 0.328 0.494 0.735
O: 0.176 0.235 0.497
O: 0.828 0.506 0.765
O: 0.985 0.859 0.120
O: 0.485 0.641 0.120
O: 0.324 0.735 0.503
O: 0.015 0.641 0.620
O: 0.491 0.881 0.360
O: 0.473 0.885 0.116
O: 0.009 0.881 0.860
O: 0.991 0.119 0.140
O: 0.828 0.006 0.735
O: 0.985 0.359 0.380
O: 0.509 0.119 0.640
O: 0.485 0.141 0.380
O: 0.672 0.006 0.235
O: 0.473 0.385 0.384
O: 0.491 0.381 0.140
O: 0.824 0.765 0.503
O: 0.676 0.765 0.003
O: 0.324 0.235 0.997
O: 0.027 0.385 0.884
O: 0.973 0.115 0.384
O: 0.527 0.615 0.616